Density functional theory data (GGA-PBE) for a geometry-optimized LaPuGaPt structure.

abc: 5.1484 5.1484 5.1484
angles: 60.00 60.00 60.00
Closest atoms and distances in Å follow each position.
Fractional coordinates of all 4 atoms:
La  0.0000  0.0000  0.0000  4 Pt 3.15, 4 Ga 3.15
Pu  0.5000  0.5000  0.5000  4 Pt 3.15, 4 Ga 3.15
Ga  0.2500  0.2500  0.2500  4 La 3.15, 4 Pu 3.15
Pt  0.7500  0.7500  0.7500  4 La 3.15, 4 Pu 3.15

## Properties
Its total energy is -30.6 eV per cell. As for the density of states at the Fermi level: 10.6 states/eV/cell.